BaMg9Cd2 after structural relaxation, computed with PBE.

Offset from the most stable computed form, eV per atom: 0.000
Formation energy from the elements, meV/atom: -130
V, Å³/cell: 605.35

```
BaMg9Cd2
1.0
-0.6924 2.5445 7.5077
-8.3207 -2.2315 4.2060
3.1042 -6.2123 6.6087
Ba Mg Cd
2 18 4
Direct
0.5000 0.0000 0.0000
0.2500 0.5000 0.5000
0.7500 0.5000 0.5000
0.0000 0.0000 0.0000
0.0149 0.9198 0.6717
0.6065 0.0802 0.3283
0.6848 0.1717 0.5802
0.4367 0.8283 0.4198
0.7351 0.8283 0.5802
0.1435 0.1717 0.4198
0.0652 0.9198 0.3283
0.3133 0.0802 0.6717
0.7351 0.5802 0.8283
0.1435 0.4198 0.1717
0.0652 0.3283 0.9198
0.3133 0.6717 0.0802
0.0149 0.6717 0.9198
0.6065 0.3283 0.0802
0.6848 0.5802 0.1717
0.4367 0.4198 0.8283
0.8750 0.2500 0.7500
0.8750 0.7500 0.2500
0.8750 0.2500 0.2500
0.3750 0.7500 0.7500
```